1.
VASP calculation (PBE-GGA) on a geometry-optimized Pa4Ga2N structure.

Calculated values
energy relative to the elements, uncorrected: -2.73 eV/f.u.
calculated volume: 22.70 Å³ per atom

Cell lengths 4.585, 4.585, 15.119 Å; angles 90.00, 90.00, 90.00 degrees
Space group I4/mmm (No. 139)
Asymmetric unit:
1 Pa 0.000 0.000 0.165 (multiplicity 4)
2 Pa 0.000 0.500 0.000 (multiplicity 4)
3 Ga 0.000 0.000 0.360 (multiplicity 4)
4 N 0.000 0.000 0.000 (multiplicity 2)

***

2.
VASP calculation (PBE-GGA) on a geometry-optimized Ac6CePb5 structure.

Calculated values
final energy: -105.4 eV per cell
calculated volume: 39.42 Å³ per atom

Cell lengths 9.927, 12.426, 7.815 Å; angles 90.00, 101.10, 90.00 degrees
Space group C2/m (No. 12)
Asymmetric unit:
1 Ac 0.195 0.000 0.197 (multiplicity 4)
2 Ac 0.217 0.178 0.722 (multiplicity 8)
3 Ce 0.000 0.500 0.000 (multiplicity 2)
4 Pb 0.000 0.000 0.500 (multiplicity 2)
5 Pb 0.000 0.226 0.000 (multiplicity 4)
6 Pb 0.000 0.377 0.500 (multiplicity 4)

***

3.
VASP calculation (PBE-GGA) on a geometry-optimized PmInGaPd structure.

Calculated values
final energy: -72.4 eV per cell
calculated volume: 21.23 Å³ per atom

Cell lengths 6.977, 6.977, 6.977 Å; angles 90.00, 90.00, 90.00 degrees
Space group F-43m (No. 216)
Asymmetric unit:
1 Pm 0.000 0.000 0.000 (multiplicity 4)
2 In 0.000 0.000 0.500 (multiplicity 4)
3 Ga 0.250 0.250 0.750 (multiplicity 4)
4 Pd 0.250 0.250 0.250 (multiplicity 4)

***

4.
VASP calculation (PBE-GGA) on a geometry-optimized Cd2TeRh structure.

Calculated values
energy relative to the elements, uncorrected: 0.43 eV/f.u.
calculated volume: 25.56 Å³ per atom

Cell lengths 9.020, 9.020, 5.028 Å; angles 90.00, 90.00, 90.00 degrees
Space group I-42d (No. 122)
Asymmetric unit:
1 Cd 0.160 0.250 0.125 (multiplicity 8)
2 Te 0.000 0.000 0.500 (multiplicity 4)
3 Rh 0.000 0.000 0.000 (multiplicity 4)

***

5.
VASP calculation (PBE-GGA) on a geometry-optimized LaNi2S structure.

Calculated values
energy relative to the elements, uncorrected: -3.76 eV/f.u.
calculated volume: 18.73 Å³ per atom

Cell lengths 4.374, 4.064, 8.458 Å; angles 90.00, 94.90, 90.00 degrees
Space group P2_1/m (No. 11)
Asymmetric unit:
1 La 0.229 0.250 0.293 (multiplicity 2)
2 Ni 0.129 0.750 0.998 (multiplicity 2)
3 Ni 0.364 0.250 0.911 (multiplicity 2)
4 S 0.272 0.250 0.645 (multiplicity 2)

***

6.
VASP calculation (PBE-GGA) on a geometry-optimized SrInAu2 structure.

Calculated values
final energy: -12.7 eV per cell
calculated volume: 25.67 Å³ per atom

Cell lengths 3.955, 3.955, 6.566 Å; angles 90.00, 90.00, 90.00 degrees
Space group P4mm (No. 99)
Asymmetric unit:
1 Sr 0.000 0.000 0.000 (multiplicity 1)
2 In 0.500 0.500 0.648 (multiplicity 1)
3 Au 0.000 0.000 0.506 (multiplicity 1)
4 Au 0.500 0.500 0.222 (multiplicity 1)

***

7.
VASP calculation (PBE-GGA) on a geometry-optimized Hf2TiSi structure.

Calculated values
energy relative to the elements, uncorrected: 0.66 eV/f.u.
calculated volume: 19.89 Å³ per atom

Cell lengths 7.651, 7.651, 5.435 Å; angles 90.00, 90.00, 90.00 degrees
Space group I-42d (No. 122)
Asymmetric unit:
1 Hf 0.220 0.250 0.125 (multiplicity 8)
2 Ti 0.000 0.000 0.500 (multiplicity 4)
3 Si 0.000 0.000 0.000 (multiplicity 4)

***

8.
VASP calculation (PBE-GGA) on a geometry-optimized CaZrI6 structure.

Calculated values
energy relative to the elements, uncorrected: -8.97 eV/f.u.
calculated volume: 46.64 Å³ per atom

Cell lengths 7.446, 14.228, 7.437 Å; angles 90.00, 108.71, 90.00 degrees
Space group C2/m (No. 12)
Asymmetric unit:
1 Ca 0.000 0.000 0.000 (multiplicity 2)
2 Zr 0.000 0.500 0.500 (multiplicity 2)
3 I 0.232 0.354 0.734 (multiplicity 8)
4 I 0.238 0.500 0.266 (multiplicity 4)

***

9.
VASP calculation (PBE-GGA) on a geometry-optimized Li7InRh2 structure.

Calculated values
final energy: -57.7 eV per cell
calculated volume: 19.79 Å³ per atom

Cell lengths 6.975, 11.753, 4.829 Å; angles 90.00, 90.00, 90.00 degrees
Space group Cmmm (No. 65)
Asymmetric unit:
1 Li 0.000 0.000 0.000 (multiplicity 2)
2 Li 0.000 0.192 0.500 (multiplicity 4)
3 Li 0.186 0.382 0.000 (multiplicity 8)
4 In 0.000 0.500 0.500 (multiplicity 2)
5 Rh 0.000 0.213 0.000 (multiplicity 4)

***

10.
VASP calculation (PBE-GGA) on a geometry-optimized SrPdCl3 structure.

Calculated values
energy relative to the elements, uncorrected: -6.32 eV/f.u.
energy above the most stable polymorph in this dataset: 0.0000 eV per atom
calculated volume: 24.98 Å³ per atom

Cell lengths 4.999, 4.999, 4.999 Å; angles 90.00, 90.00, 90.00 degrees
Space group Pm-3m (No. 221)
Asymmetric unit:
1 Sr 0.000 0.000 0.000 (multiplicity 1)
2 Pd 0.500 0.500 0.500 (multiplicity 1)
3 Cl 0.000 0.500 0.500 (multiplicity 3)

***

| no. | mass density (g/cm3) |
| --- | --- |
| 1 | 11.26 |
| 2 | 8.91 |
| 3 | 8.53 |
| 4 | 7.39 |
| 5 | 6.39 |
| 6 | 9.64 |
| 7 | 9.04 |
| 8 | 3.97 |
| 9 | 3.10 |
| 10 | 3.99 |